Crystalline SiClO2 at its relaxed geometry. Source: Alexandria via LeMat-Bulk, functional PBEsol.

Cell: 7.4848 7.4848 7.4848 Å, 90.00 90.00 90.00°
Space group Fd-3m (No. 227, origin choice 2)
Inequivalent atoms, fractional coordinates:
Si 0.1250 0.1250 0.1250 (multiplicity 8)
Cl 0.1250 0.1250 0.6250 (multiplicity 8)
O 0.0000 0.0000 0.0000 (multiplicity 16)

Formation energy without anion corrections = -1.768 eV per atom
Raw total energy = -202.62 eV/cell
Size of the total moment = 8.0 μB/cell